(1)
The following is a DFT calculation (GGA-PBE) of crystalline Nd6Sm16Dy7 at its relaxed geometry.

The structure in POSCAR format:
```
Nd6Sm16Dy7
1.0
9.791 0.000 5.653
3.264 9.231 5.653
0.000 0.000 11.305
Nd Sm Dy
6 16 7
Cartesian
5.044 6.713 8.736 Nd
8.011 2.517 13.875 Nd
8.011 2.517 8.736 Nd
5.044 6.713 13.875 Nd
9.494 6.713 11.305 Nd
3.560 2.517 11.305 Nd
11.412 8.070 14.150 Sm
11.412 8.070 19.766 Sm
9.791 3.484 16.958 Sm
6.548 8.070 16.958 Sm
1.642 1.161 2.844 Sm
1.642 1.161 8.461 Sm
3.264 5.747 5.653 Sm
6.506 1.161 5.653 Sm
8.502 6.012 7.885 Sm
8.502 6.012 14.725 Sm
6.527 0.427 11.305 Sm
2.578 6.012 11.305 Sm
4.553 3.219 7.885 Sm
4.553 3.219 14.725 Sm
6.527 8.804 11.305 Sm
10.476 3.219 11.305 Sm
0.000 0.000 0.000 Dy
4.895 0.000 8.479 Dy
1.632 4.615 2.826 Dy
1.632 4.615 8.479 Dy
4.895 0.000 2.826 Dy
0.000 0.000 5.653 Dy
6.527 4.615 5.653 Dy
```

Computed properties:
Total DFT energy (no corrections), eV/atom: -4.49
Magnetic moment, μB/f.u.: 0.0
Space group: No. 225

=====

(2)
The following is a DFT calculation (GGA-PBE) of crystalline Nd2SmDy3 at its relaxed geometry.

The structure in POSCAR format:
```
Nd2SmDy3
1.0
-2.854 -4.479 -1.804
7.933 0.161 -4.231
-1.028 -3.200 9.573
Nd Sm Dy
4 2 6
Cartesian
-2.149 -5.048 7.215 Nd
6.199 -2.470 -3.678 Nd
1.988 -3.787 -2.463 Nd
2.063 -3.731 6.000 Nd
2.450 -6.512 3.574 Sm
1.601 -1.006 -0.036 Sm
3.235 -3.068 2.500 Dy
3.808 -6.040 0.251 Dy
-0.641 -4.804 4.224 Dy
4.692 -2.714 -0.686 Dy
0.243 -1.478 3.286 Dy
0.816 -4.450 1.038 Dy
```

Computed properties:
Total DFT energy (no corrections), eV/atom: -4.58
Magnetic moment, μB/f.u.: 0.0
Space group: No. 12

=====

(3)
The following is a DFT calculation (GGA-PBE) of crystalline Nd12Sm5Dy2 at its relaxed geometry.

The structure in POSCAR format:
```
Nd12Sm5Dy2
1.0
-4.043 -0.544 6.586
10.234 -0.888 1.653
1.689 8.622 1.749
Nd Sm Dy
12 5 2
Cartesian
3.437 -0.114 6.657 Nd
7.933 5.954 2.802 Nd
5.662 5.649 6.501 Nd
8.030 2.300 2.905 Nd
6.065 2.036 6.106 Nd
8.636 4.758 5.694 Nd
-0.755 2.432 4.294 Nd
-0.149 4.890 7.083 Nd
1.815 5.154 3.882 Nd
-0.052 1.236 7.185 Nd
2.219 1.541 3.487 Nd
4.443 7.304 3.331 Nd
5.007 3.737 3.382 Sm
5.594 -0.071 3.428 Sm
0.845 4.311 0.875 Sm
2.287 7.260 6.560 Sm
2.874 3.453 6.606 Sm
-3.063 -0.412 4.990 Dy
-0.980 -0.132 1.596 Dy
```

Computed properties:
Total DFT energy (no corrections), eV/atom: -4.59
Magnetic moment, μB/f.u.: 0.0
Space group: No. 12